Entry 1:
Entry from Alexandria via LeMat-Bulk: a relaxed structure of NpSIBr (PBE).

Output
For the mass density, the calculation gives 5.717 g/cm³. The crystal system is monoclinic. The raw formation energy comes out at -0.92 eV/atom.

Cell lengths 7.696, 4.602, 8.235 Å; angles 90.00, 108.61, 90.00 degrees
Fractional coordinates of all 8 atoms:
Np: 0.000 0.000 0.000
Np: 0.500 0.500 0.000
S: 0.157 0.500 0.988
S: 0.657 0.000 0.988
I: 0.223 0.000 0.713
I: 0.723 0.500 0.713
Br: 0.403 0.000 0.242
Br: 0.903 0.500 0.242



Entry 2:
Entry from Alexandria via LeMat-Bulk: a relaxed structure of NpTl3I2Br6 (PBE).

Output
For the mass density, the calculation gives 5.107 g/cm³. The crystal system is monoclinic. The raw formation energy comes out at -0.89 eV/atom.

Cell lengths 9.534, 9.534, 6.709 Å; angles 91.03, 91.03, 57.62 degrees
Fractional coordinates of all 12 atoms:
Np: 0.000 0.000 0.000
Tl: 0.000 0.500 0.000
Tl: 0.500 0.000 0.000
Tl: 0.500 0.500 0.500
I: 0.323 0.323 0.683
I: 0.677 0.677 0.317
Br: 0.135 0.135 0.236
Br: 0.142 0.720 0.229
Br: 0.280 0.858 0.771
Br: 0.720 0.142 0.229
Br: 0.858 0.280 0.771
Br: 0.865 0.865 0.764



Entry 3:
Entry from Alexandria via LeMat-Bulk: a relaxed structure of IBrO (PBE).

Output
For the mass density, the calculation gives 3.363 g/cm³. The crystal system is triclinic. The raw formation energy comes out at -0.06 eV/atom.

Cell lengths 4.452, 6.786, 7.853 Å; angles 87.18, 75.55, 73.35 degrees
Fractional coordinates of all 6 atoms:
I: 0.000 0.000 0.000
I: 0.132 0.728 0.559
Br: 0.008 0.114 0.310
Br: 0.109 0.417 0.763
O: 0.558 0.709 0.518
O: 0.927 0.938 0.723